The following is a DFT calculation (PBE) of a relaxed KNdSm4Se8 crystal.

Structure (POSCAR):
```
KNdSm4Se8
1.0
-6.719 -5.104 2.287
0.521 -8.659 -1.085
0.688 -5.250 7.013
K Nd Sm Se
1 1 4 8
direct
0.374 0.374 0.879 K
0.005 0.005 0.986 Nd
0.625 0.625 0.124 Sm
0.004 0.487 0.504 Sm
0.487 0.004 0.504 Sm
0.004 0.004 0.504 Sm
0.237 0.794 0.732 Se
0.794 0.237 0.732 Se
0.237 0.237 0.732 Se
0.235 0.235 0.296 Se
0.756 0.228 0.259 Se
0.228 0.756 0.259 Se
0.756 0.756 0.259 Se
0.758 0.758 0.727 Se
```

* DOS at the Fermi energy: 0.00 states/eV per atom
* formation energy from raw total energies: -1.753 eV per atom
* SG: R3m, No. 160